Entry from Alexandria via LeMat-Bulk: UTe5 at its PBEsol-relaxed geometry (meta-GGA SCAN).

**Calculated total energy**: -48.602 eV/atom
**DOS(E_F)**: 37.35 states/eV/cell
**Calculated volume**: 30.86 Å³ per atom
**Uncorrected formation energy**: -0.30 eV per atom

Structure (POSCAR):
```
UTe5
1.0
17.785 0.000 0.000
0.000 4.152 0.000
0.000 0.000 10.028
U Te
4 20
direct
0.091 0.083 0.000
0.409 0.583 0.500
0.591 0.417 0.000
0.909 0.917 0.500
0.000 0.002 0.750
0.000 0.998 0.250
0.038 0.410 0.500
0.163 0.583 0.190
0.164 0.583 0.811
0.238 0.796 0.501
0.262 0.296 0.001
0.336 0.083 0.311
0.337 0.083 0.690
0.462 0.910 0.000
0.500 0.498 0.750
0.500 0.502 0.250
0.538 0.090 0.500
0.663 0.917 0.190
0.664 0.917 0.811
0.738 0.704 0.501
0.762 0.204 0.001
0.836 0.417 0.311
0.837 0.417 0.690
0.962 0.590 0.000
```